The following is a DFT calculation (SCAN) of a crystal of CsMnN2 relaxed with PBEsol. Values from VASP.

Results
**Fermi-level density of states**: 3.647 states/eV per cell
**Mass density**: 5.56 g/cm³
**Formation energy from raw total energies**: -0.423 eV/atom

The structure in Quantum ESPRESSO input format:
```
&SYSTEM
  ibrav = 0, nat = 8, ntyp = 3
/
ATOMIC_SPECIES
N 14.01 N.upf
Cs 132.91 Cs.upf
Mn 54.94 Mn.upf
CELL_PARAMETERS angstrom
5.670 0.000 0.000
2.835 4.911 0.000
2.835 1.637 4.630
ATOMIC_POSITIONS crystal
N 0.125 0.125 0.125
Cs 0.750 0.750 0.750
Mn 0.250 0.250 0.250
Mn 0.000 0.000 0.000
N 0.125 0.125 0.625
N 0.125 0.625 0.125
Cs 0.500 0.500 0.500
N 0.625 0.125 0.125
```